Li3NdNi3, optimized geometry, DFT PBE; VASP energy = -3.5088 eV/atom; space group = Pm-3n (223); formation energy from the elements = 470.2 meV per atom; total magnetization = 0.000 μB per atom; DOS(E_F) = 8.4 states/eV per cell
1.0
6.171 0.000 0.000
0.000 6.171 0.000
0.000 0.000 6.171
Ni Nd Li
6 2 6
Cartesian
3.085 0.000 1.543 Ni
4.628 3.085 0.000 Ni
3.085 0.000 4.628 Ni
1.543 3.085 0.000 Ni
0.000 1.543 3.085 Ni
0.000 4.628 3.085 Ni
3.085 3.085 3.085 Nd
0.000 0.000 0.000 Nd
3.085 4.628 0.000 Li
0.000 3.085 1.543 Li
0.000 3.085 4.628 Li
3.085 1.543 0.000 Li
1.543 0.000 3.085 Li
4.628 0.000 3.085 Li

=====

LiNd3Ni3, optimized geometry, DFT PBE; VASP energy = -5.0303 eV/atom; space group = Cmcm (63); formation energy from the elements = -235.8 meV per atom; total magnetization = 0.000 μB per atom; DOS(E_F) = 10.8 states/eV per cell
1.0
4.196 0.000 0.000
-2.098 5.087 0.000
0.000 0.000 13.656
Ni Nd Li
6 6 2
Cartesian
2.098 4.186 8.110 Ni
0.000 2.281 3.414 Ni
2.098 4.186 12.374 Ni
0.000 0.901 1.282 Ni
0.000 0.901 5.546 Ni
2.098 2.806 10.242 Ni
2.098 0.187 3.414 Nd
0.000 2.047 8.251 Nd
0.000 2.047 12.232 Nd
2.098 3.039 1.423 Nd
2.098 3.039 5.405 Nd
0.000 4.899 10.242 Nd
2.098 0.000 6.828 Li
2.098 0.000 0.000 Li

=====

LiNdNi2, optimized geometry, DFT PBE; VASP energy = -4.6039 eV/atom; space group = P4/mmm (123); formation energy from the elements = -42.8 meV per atom; polymorph energy (0 for the lowest one) = 0.34 eV per formula unit; total magnetization = 0.000 μB per atom; DOS(E_F) = 0.8 states/eV per cell
1.0
3.403 0.000 0.000
0.000 3.403 0.000
0.000 0.000 5.773
Ni Nd Li
2 1 1
Cartesian
0.000 0.000 4.111 Ni
0.000 0.000 1.662 Ni
1.701 1.701 0.000 Nd
1.701 1.701 2.886 Li

=====

LiNdNi, optimized geometry, DFT PBE; VASP energy = -4.1655 eV/atom; space group = I4mm (107); formation energy from the elements = -11.2 meV per atom; polymorph energy (0 for the lowest one) = 0.52 eV per formula unit; total magnetization = 0.000 μB per atom; DOS(E_F) = 2.9 states/eV per cell
1.0
-3.317 -0.366 1.170
0.374 -3.516 -0.039
3.047 2.059 3.940
Nd Ni Li
1 1 1
Cartesian
0.003 -1.831 4.779 Nd
-1.083 -1.912 1.676 Ni
0.817 0.061 2.335 Li

=====

Li2Nd3Ni7, optimized geometry, DFT PBE; VASP energy = -5.1241 eV/atom; space group = R-3m (166); formation energy from the elements = -240.7 meV per atom; total magnetization = 0.000 μB per atom; DOS(E_F) = 7.2 states/eV per cell
1.0
4.893 0.000 1.532
2.207 4.367 1.532
-0.045 -0.027 8.725
Ni Nd Li
7 3 2
Cartesian
2.949 1.814 3.448 Ni
4.054 3.999 4.215 Ni
3.002 0.341 7.574 Ni
3.528 2.170 5.894 Ni
1.658 2.526 7.574 Ni
5.398 1.814 4.215 Ni
4.106 2.526 8.340 Ni
0.958 0.589 5.522 Nd
6.098 3.751 6.266 Nd
0.000 0.000 0.000 Nd
4.729 2.909 2.058 Li
2.327 1.431 9.731 Li

=====

LiNdNiP2, optimized geometry, DFT PBE; VASP energy = -5.4196 eV/atom; space group = Pmma (51); formation energy from the elements = -763.0 meV per atom; total magnetization = 0.000 μB per atom; DOS(E_F) = 3.7 states/eV per cell
1.0
-0.502 5.250 1.742
-4.471 -1.239 2.444
2.931 -1.283 4.712
Ni P Nd Li
2 4 2 2
Cartesian
0.000 0.000 0.000 Ni
-2.235 -0.619 1.222 Ni
-0.797 3.392 3.074 P
-2.767 0.003 3.377 P
-1.245 -0.664 5.824 P
0.725 2.726 5.521 P
0.230 0.275 3.374 Nd
-2.273 2.453 5.524 Nd
-1.318 1.785 1.306 Li
-3.655 2.226 2.880 Li

=====

LiNdNiPd, optimized geometry, DFT PBE; VASP energy = -4.6944 eV/atom; space group = F-43m (216); formation energy from the elements = -280.5 meV per atom; total magnetization = 0.000 μB per atom; DOS(E_F) = 1.7 states/eV per cell
1.0
-3.169 -3.496 0.498
0.646 -3.334 3.314
-2.813 -0.126 3.819
Nd Pd Li Ni
1 1 1 1
Cartesian
-4.002 -5.217 5.723 Nd
-2.668 -3.478 3.815 Pd
-1.334 -1.739 1.908 Li
0.000 0.000 0.000 Ni

=====

LiPmNdNi, optimized geometry, DFT PBE; VASP energy = -4.3529 eV/atom; space group = F-43m (216); formation energy from the elements = -49.5 meV per atom; total magnetization = 0.000 μB per atom; DOS(E_F) = 3.0 states/eV per cell
1.0
-1.998 2.990 -3.577
-4.955 1.080 0.074
-1.558 4.679 1.185
Pm Ni Li Nd
1 1 1 1
Cartesian
-4.255 4.375 -1.159 Pm
-6.383 6.562 -1.738 Ni
-2.128 2.187 -0.579 Li
0.000 0.000 0.000 Nd

=====

LiNdNiPt, optimized geometry, DFT PBE; VASP energy = -5.0675 eV/atom; space group = F-43m (216); formation energy from the elements = -441.6 meV per atom; total magnetization = 0.000 μB per atom; DOS(E_F) = 1.8 states/eV per cell
1.0
4.584 0.000 0.000
2.292 3.970 0.000
2.292 1.323 3.743
Ni Pt Nd Li
1 1 1 1
Cartesian
4.584 2.647 1.871 Ni
6.876 3.970 2.807 Pt
2.292 1.323 0.936 Nd
0.000 0.000 0.000 Li

=====

Li3Nd2Ni12Ru, optimized geometry, DFT PBE; VASP energy = -5.0700 eV/atom; space group = R-3m (166); formation energy from the elements = 148.3 meV per atom; total magnetization = 0.206 μB per atom; DOS(E_F) = 27.5 states/eV per cell
1.0
-10.235 1.430 6.164
-8.644 -3.149 7.755
-6.767 1.087 9.890
Ni Nd Ru Li
12 2 1 3
Cartesian
-7.876 0.664 5.610 Ni
-13.400 0.260 14.140 Ni
-15.034 0.422 12.385 Ni
-18.581 1.039 17.388 Ni
-11.362 1.103 10.675 Ni
-19.538 -1.121 16.299 Ni
-17.770 -1.296 18.200 Ni
-14.284 -1.735 13.134 Ni
-6.108 0.489 7.510 Ni
-10.612 -1.054 11.425 Ni
-7.065 -1.672 6.422 Ni
-12.246 -0.893 9.670 Ni
-16.480 -0.406 15.300 Nd
-9.166 -0.226 8.510 Nd
0.000 0.000 0.000 Ru
-4.322 -1.575 3.878 Li
-3.383 0.544 4.945 Li
-5.117 0.715 3.082 Li

=====

LiNd2Ni4Sb3, optimized geometry, DFT PBE; VASP energy = -5.3215 eV/atom; space group = P-4m2 (115); E_form (uncorrected) = -0.6273 eV per atom; total magnetization = 0.000 μB per atom; DOS(E_F) = 5.1 states/eV per cell
1.0
-1.158 -2.161 -3.597
-2.458 -2.675 2.398
-7.882 6.187 -1.179
Nd Ni Sb Li
2 4 3 1
Cartesian
-7.202 3.351 0.306 Nd
-2.489 0.419 -2.084 Nd
-1.808 -2.418 -0.599 Ni
-4.207 1.000 0.754 Ni
-5.483 2.769 -2.532 Ni
0.000 0.000 0.000 Ni
-7.414 4.284 -2.820 Sb
-2.277 -0.515 1.043 Sb
-3.941 3.094 -0.589 Sb
-5.749 0.676 -1.188 Li

=====

LiNd2Ni3Sb4, optimized geometry, DFT PBE; VASP energy = -5.1921 eV/atom; space group = P-4m2 (115); E_form (uncorrected) = -0.6638 eV per atom; total magnetization = 0.000 μB per atom; DOS(E_F) = 2.9 states/eV per cell
1.0
-0.603 3.852 2.224
-4.024 -1.428 1.383
4.326 -4.129 8.322
Sb Nd Li Ni
4 2 1 3
Cartesian
-2.313 1.212 1.804 Sb
2.438 -0.689 6.382 Sb
-0.425 -2.229 3.744 Sb
0.000 0.000 0.000 Sb
0.793 0.881 3.218 Nd
1.219 -3.799 6.908 Nd
-0.150 -0.853 5.965 Li
-1.489 -1.214 1.698 Ni
3.502 -1.704 8.428 Ni
2.163 -2.065 4.161 Ni

=====

LiNdSi2Ni, optimized geometry, DFT PBE; VASP energy = -5.2862 eV/atom; space group = I-4m2 (119); E_form (uncorrected) = -0.6244 eV per atom; total magnetization = 0.000 μB per atom; DOS(E_F) = 2.6 states/eV per cell
1.0
-0.668 -0.131 -4.039
0.758 -4.025 0.005
-4.833 1.177 2.838
Li Ni Nd Si
1 1 1 2
Cartesian
-2.728 -0.516 -1.609 Li
-2.015 -2.463 0.413 Ni
0.000 0.000 0.000 Nd
-1.124 -2.298 -1.817 Si
-3.619 -0.681 0.620 Si

=====

Li3Nd2SiNi12, optimized geometry, DFT PBE; VASP energy = -4.9396 eV/atom; space group = R-3m (166); E_form (uncorrected) = 0.0646 eV per atom; total magnetization = 0.000 μB per atom; DOS(E_F) = 17.9 states/eV per cell
1.0
0.239 -2.201 9.353
0.375 -7.131 6.434
5.155 -4.028 7.041
Ni Li Nd Si
12 3 2 1
Cartesian
3.336 -3.334 5.786 Ni
0.683 -5.057 5.448 Ni
0.607 -2.320 7.069 Ni
2.482 -6.412 13.219 Ni
2.434 -10.025 17.042 Ni
4.470 -7.151 12.284 Ni
5.087 -8.303 17.379 Ni
2.536 -8.407 12.038 Ni
5.162 -11.039 15.759 Ni
1.299 -6.208 10.544 Ni
3.288 -6.947 9.608 Ni
3.233 -4.953 10.790 Ni
0.187 -3.565 3.217 Li
2.578 -2.014 3.521 Li
0.120 -1.100 4.677 Li
2.060 -4.770 8.150 Nd
3.710 -8.590 14.677 Nd
0.000 0.000 0.000 Si

=====

LiNdSiNi, optimized geometry, DFT PBE; VASP energy = -4.9109 eV/atom; space group = F-43m (216); E_form (uncorrected) = -0.4394 eV per atom; total magnetization = 0.000 μB per atom
1.0
4.526 0.000 0.000
2.263 3.920 0.000
2.263 1.307 3.696
Si Nd Li Ni
1 1 1 1
Cartesian
6.789 3.920 2.772 Si
2.263 1.307 0.924 Nd
0.000 0.000 0.000 Li
4.526 2.613 1.848 Ni

=====

Li2Nd2Si4Ni, optimized geometry, DFT PBE; VASP energy = -5.0235 eV/atom; space group = I4/mmm (139); E_form (uncorrected) = -0.4861 eV per atom; total magnetization = 0.000 μB per atom; DOS(E_F) = 3.3 states/eV per cell
1.0
6.056 -0.421 -0.665
-2.819 5.377 0.665
-2.819 -1.694 5.146
Nd Si Li Ni
2 4 2 1
Cartesian
0.210 -0.137 3.694 Nd
0.210 3.399 1.453 Nd
-1.413 2.458 3.878 Si
1.832 0.804 1.268 Si
-2.819 0.307 3.878 Si
-2.819 3.376 1.933 Si
-1.597 1.043 1.646 Li
-4.040 2.640 4.165 Li
0.000 0.000 0.000 Ni

=====

LiNdNiSn, optimized geometry, DFT PBE; VASP energy = -4.6603 eV/atom; space group = F-43m (216); formation energy from the elements = -543.9 meV per atom; total magnetization = 0.000 μB per atom
1.0
4.741 0.000 0.000
2.371 4.106 0.000
2.371 1.369 3.871
Li Nd Sn Ni
1 1 1 1
Cartesian
0.000 0.000 0.000 Li
7.112 4.106 2.904 Nd
2.371 1.369 0.968 Sn
4.741 2.737 1.936 Ni

=====

LiNdTlNi, optimized geometry, DFT PBE; VASP energy = -3.9179 eV/atom; space group = F-43m (216); formation energy from the elements = -210.5 meV per atom; total magnetization = 0.002 μB per atom; DOS(E_F) = 7.0 states/eV per cell
1.0
-2.088 -1.003 4.218
2.701 -1.215 3.793
0.463 3.044 3.698
Tl Li Nd Ni
1 1 1 1
Cartesian
0.538 0.413 5.855 Tl
0.807 0.620 8.782 Li
0.000 0.000 0.000 Nd
0.269 0.207 2.927 Ni

=====

LiNd2Zn2Ni5, optimized geometry, DFT PBE; VASP energy = -4.3868 eV/atom; space group = P4/mbm (127); formation energy from the elements = -96.3 meV per atom; total magnetization = 0.000 μB per atom; DOS(E_F) = 10.5 states/eV per cell
1.0
-0.806 -1.857 -3.099
9.217 -0.847 -1.890
0.239 -8.128 4.809
Zn Ni Nd Li
4 10 4 2
Cartesian
3.610 -1.233 -0.200 Zn
5.846 -7.741 3.119 Zn
1.171 -5.062 2.729 Zn
8.285 -3.913 0.190 Zn
4.206 -1.352 -2.494 Ni
2.337 -5.734 0.618 Ni
0.353 -7.343 2.098 Ni
1.615 -1.615 -1.663 Ni
4.947 -7.234 0.838 Ni
8.297 -3.489 -2.278 Ni
-0.283 -4.993 0.855 Ni
3.704 -3.598 -1.018 Ni
6.313 -5.098 -0.798 Ni
7.036 -9.217 1.483 Ni
3.104 -6.897 3.326 Nd
7.682 -6.253 1.750 Nd
1.775 -2.722 1.169 Nd
6.352 -2.078 -0.407 Nd
4.728 -4.487 1.460 Li
0.000 0.000 0.000 Li

=====

LiNdZnNi, optimized geometry, DFT PBE; VASP energy = -3.5779 eV/atom; space group = F-43m (216); formation energy from the elements = -143.7 meV per atom; total magnetization = 0.000 μB per atom; DOS(E_F) = 4.8 states/eV per cell
1.0
4.653 0.000 0.000
2.326 4.029 0.000
2.326 1.343 3.799
Zn Li Ni Nd
1 1 1 1
Cartesian
4.653 2.686 1.899 Zn
6.979 4.029 2.849 Li
2.326 1.343 0.950 Ni
0.000 0.000 0.000 Nd

=====

LiNdZn3Ni, optimized geometry, DFT PBE; VASP energy = -2.8599 eV/atom; space group = Cmcm (63); formation energy from the elements = -145.8 meV per atom; total magnetization = 0.000 μB per atom; DOS(E_F) = 8.1 states/eV per cell
1.0
-3.169 4.203 -1.405
-4.684 -2.469 3.181
4.157 4.288 3.452
Zn Ni Li Nd
6 2 2 2
Cartesian
-0.272 1.927 1.095 Zn
-3.302 -1.740 2.242 Zn
-1.382 -0.729 0.939 Zn
-3.425 4.095 4.133 Zn
-2.967 1.373 0.236 Zn
-4.886 0.361 1.540 Zn
-4.188 2.811 2.012 Ni
0.492 3.211 3.216 Ni
-2.131 3.565 -0.371 Li
-1.565 2.457 5.599 Li
-2.381 1.085 3.334 Nd
-1.316 4.937 1.894 Nd

=====

Li3Nd2ZnNi12, optimized geometry, DFT PBE; VASP energy = -4.6113 eV/atom; space group = R-3m (166); formation energy from the elements = 162.4 meV per atom; total magnetization = 0.066 μB per atom; DOS(E_F) = 25.0 states/eV per cell
1.0
9.243 2.001 1.419
6.305 7.049 1.419
6.305 3.670 6.184
Ni Nd Zn Li
12 2 1 3
Cartesian
15.127 10.296 7.303 Ni
5.430 4.652 1.720 Ni
5.430 3.161 3.822 Ni
10.345 4.690 4.737 Ni
12.666 6.041 4.285 Ni
16.423 9.560 5.201 Ni
11.509 6.699 6.163 Ni
9.187 6.679 4.737 Ni
10.345 6.021 2.860 Ni
6.726 2.424 1.720 Ni
11.509 8.031 4.285 Ni
16.423 8.069 7.303 Ni
13.947 8.119 5.758 Nd
7.906 4.602 3.264 Nd
0.000 0.000 0.000 Zn
3.152 1.835 3.092 Li
3.152 3.525 0.710 Li
4.622 1.001 0.710 Li

=====

Li2NdNpO6, optimized geometry, DFT PBE; VASP energy = -7.7915 eV/atom; space group = R-3 (148); E_form (uncorrected) = -2.6629 eV per atom; total magnetization = 0.000 μB per atom
1.0
-2.221 1.728 -4.599
-5.138 1.633 -0.066
-0.866 6.159 -0.428
Li O Nd Np
2 6 1 1
Cartesian
-0.934 5.944 -0.476 Li
-4.674 2.975 -2.945 Li
-2.940 5.961 -0.687 O
-2.598 6.490 -3.538 O
-5.579 3.538 -1.233 O
-5.167 7.013 -2.254 O
-5.231 4.156 -4.482 O
-2.669 2.958 -2.734 O
-6.483 6.140 -4.043 Nd
-2.371 1.380 -1.497 Np